1.
A geometry-optimized Sm5Dy6Ho structure. Source: Alexandria, functional PBE-GGA.

- electronic total energy (eV/atom) = -4.631
- size of the total moment (μB/cell) = 0.0
- V (Å³/f.u.) = 387.5
- formation energy (eV per atom) = 0.018

```
data_Sm5Dy6Ho
_chemical_formula_sum 'Sm5 Dy6 Ho1'
_cell_length_a 9.4599
_cell_length_b 9.4599
_cell_length_c 9.4599
_cell_angle_alpha 149.01
_cell_angle_beta 115.44
_cell_angle_gamma 73.34
_space_group_name_H-M_alt 'P 1'
_space_group_IT_number 1
loop_
_space_group_symop_operation_xyz
'x,y,z'
loop_
_atom_site_label
_atom_site_type_symbol
_atom_site_fract_x
_atom_site_fract_y
_atom_site_fract_z
Sm1 Sm 0.0000 0.0000 0.0000
Sm2 Sm 0.1665 0.6665 0.5000
Sm3 Sm 0.3340 0.3340 0.0000
Sm4 Sm 0.6660 0.6660 0.0000
Sm5 Sm 0.8335 0.3335 0.5000
Dy1 Dy 0.0844 0.8336 0.2508
Dy2 Dy 0.2513 0.5000 0.7513
Dy3 Dy 0.4172 0.1664 0.2508
Dy4 Dy 0.5828 0.8336 0.7492
Dy5 Dy 0.7487 0.5000 0.2487
Dy6 Dy 0.9156 0.1664 0.7492
Ho1 Ho 0.5000 0.0000 0.5000
```



2.
A geometry-optimized Sm2Dy5Ho2 structure. Source: Alexandria, functional PBE-GGA.

- electronic total energy (eV/atom) = -4.380
- size of the total moment (μB/cell) = 0.0
- V (Å³/f.u.) = 303.7
- formation energy (eV per atom) = 0.242
- polymorph energy (0 for the lowest one) (eV/atom) = 0.0215

```
data_Sm2Dy5Ho2
_chemical_formula_sum 'Sm2 Dy5 Ho2'
_cell_length_a 10.9178
_cell_length_b 10.9178
_cell_length_c 8.1857
_cell_angle_alpha 99.53
_cell_angle_beta 99.53
_cell_angle_gamma 18.40
_space_group_name_H-M_alt 'P 1'
_space_group_IT_number 1
loop_
_space_group_symop_operation_xyz
'x,y,z'
loop_
_atom_site_label
_atom_site_type_symbol
_atom_site_fract_x
_atom_site_fract_y
_atom_site_fract_z
Sm1 Sm 0.1811 0.1811 0.1478
Sm2 Sm 0.8189 0.8189 0.8522
Dy1 Dy 0.0000 0.0000 0.0000
Dy2 Dy 0.0964 0.0964 0.7357
Dy3 Dy 0.3095 0.3095 0.4705
Dy4 Dy 0.6905 0.6905 0.5295
Dy5 Dy 0.9036 0.9036 0.2643
Ho1 Ho 0.4527 0.4527 0.6447
Ho2 Ho 0.5473 0.5473 0.3553
```



3.
A geometry-optimized SmDy5Ho3 structure. Source: Alexandria, functional PBE-GGA.

- electronic total energy (eV/atom) = -4.184
- size of the total moment (μB/cell) = 0.0
- V (Å³/f.u.) = 308.6
- formation energy (eV per atom) = 0.423
- polymorph energy (0 for the lowest one) (eV/atom) = 0.3637

```
data_SmDy5Ho3
_chemical_formula_sum 'Sm2 Dy10 Ho6'
_cell_length_a 9.2753
_cell_length_b 9.2753
_cell_length_c 12.2045
_cell_angle_alpha 126.09
_cell_angle_beta 126.09
_cell_angle_gamma 50.84
_space_group_name_H-M_alt 'P 1'
_space_group_IT_number 1
loop_
_space_group_symop_operation_xyz
'x,y,z'
loop_
_atom_site_label
_atom_site_type_symbol
_atom_site_fract_x
_atom_site_fract_y
_atom_site_fract_z
Sm1 Sm 0.2354 0.2354 0.1287
Sm2 Sm 0.7646 0.7646 0.8713
Dy1 Dy 0.1245 0.1245 0.5667
Dy2 Dy 0.1417 0.7300 0.2205
Dy3 Dy 0.2700 0.8583 0.7795
Dy4 Dy 0.2994 0.2994 0.9295
Dy5 Dy 0.3200 0.6800 0.0000
Dy6 Dy 0.6800 0.3200 0.0000
Dy7 Dy 0.7006 0.7006 0.0705
Dy8 Dy 0.7300 0.1417 0.2205
Dy9 Dy 0.8583 0.2700 0.7795
Dy10 Dy 0.8755 0.8755 0.4333
Ho1 Ho 0.0000 0.0000 0.0000
Ho2 Ho 0.1738 0.1738 0.3397
Ho3 Ho 0.3804 0.3804 0.6846
Ho4 Ho 0.5000 0.5000 0.5000
Ho5 Ho 0.6196 0.6196 0.3154
Ho6 Ho 0.8262 0.8262 0.6603
```



4.
A geometry-optimized SmDy2Ho2 structure. Source: Alexandria, functional PBE-GGA.

- electronic total energy (eV/atom) = -4.529
- size of the total moment (μB/cell) = 0.0
- V (Å³/f.u.) = 161.5
- formation energy (eV per atom) = 0.087
- polymorph energy (0 for the lowest one) (eV/atom) = 0.0000

```
data_SmDy2Ho2
_chemical_formula_sum 'Sm2 Dy4 Ho4'
_cell_length_a 9.3318
_cell_length_b 9.3318
_cell_length_c 3.7084
_cell_angle_alpha 90.00
_cell_angle_beta 90.00
_cell_angle_gamma 90.00
_space_group_name_H-M_alt 'P 1'
_space_group_IT_number 1
loop_
_space_group_symop_operation_xyz
'x,y,z'
loop_
_atom_site_label
_atom_site_type_symbol
_atom_site_fract_x
_atom_site_fract_y
_atom_site_fract_z
Sm1 Sm 0.0000 0.0000 0.0000
Sm2 Sm 0.5000 0.5000 0.0000
Dy1 Dy 0.1260 0.3740 0.0000
Dy2 Dy 0.3740 0.8740 0.0000
Dy3 Dy 0.6260 0.1260 0.0000
Dy4 Dy 0.8740 0.6260 0.0000
Ho1 Ho 0.1714 0.6714 0.5000
Ho2 Ho 0.3286 0.1714 0.5000
Ho3 Ho 0.6714 0.8286 0.5000
Ho4 Ho 0.8286 0.3286 0.5000
```



5.
A geometry-optimized SmDy12Ho5 structure. Source: Alexandria, functional PBE-GGA.

- electronic total energy (eV/atom) = -4.583
- size of the total moment (μB/cell) = 0.0
- V (Å³/f.u.) = 564.2
- formation energy (eV per atom) = 0.019

```
data_SmDy12Ho5
_chemical_formula_sum 'Sm1 Dy12 Ho5'
_cell_length_a 10.6187
_cell_length_b 10.6187
_cell_length_c 5.0042
_cell_angle_alpha 90.00
_cell_angle_beta 90.00
_cell_angle_gamma 90.11
_space_group_name_H-M_alt 'P 1'
_space_group_IT_number 1
loop_
_space_group_symop_operation_xyz
'x,y,z'
loop_
_atom_site_label
_atom_site_type_symbol
_atom_site_fract_x
_atom_site_fract_y
_atom_site_fract_z
Sm1 Sm 0.0000 0.0000 0.0000
Dy1 Dy 0.9998 0.3342 0.0000
Dy2 Dy 0.0002 0.6658 0.0000
Dy3 Dy 0.1674 0.1674 0.5000
Dy4 Dy 0.1673 0.5002 0.5000
Dy5 Dy 0.3342 0.9998 0.0000
Dy6 Dy 0.3337 0.3337 0.0000
Dy7 Dy 0.5002 0.1673 0.5000
Dy8 Dy 0.4998 0.8327 0.5000
Dy9 Dy 0.6658 0.0002 0.0000
Dy10 Dy 0.6663 0.6663 0.0000
Dy11 Dy 0.8327 0.4998 0.5000
Dy12 Dy 0.8326 0.8326 0.5000
Ho1 Ho 0.1675 0.8325 0.5000
Ho2 Ho 0.3336 0.6664 0.0000
Ho3 Ho 0.5000 0.5000 0.5000
Ho4 Ho 0.6664 0.3336 0.0000
Ho5 Ho 0.8325 0.1675 0.5000
```



6.
A geometry-optimized Sm19Dy6Ho4 structure. Source: Alexandria, functional PBE-GGA.

- electronic total energy (eV/atom) = -4.305
- size of the total moment (μB/cell) = 0.0
- V (Å³/f.u.) = 993.2
- formation energy (eV per atom) = 0.370

```
data_Sm19Dy6Ho4
_chemical_formula_sum 'Sm19 Dy6 Ho4'
_cell_length_a 10.8866
_cell_length_b 10.8866
_cell_length_c 10.8866
_cell_angle_alpha 109.47
_cell_angle_beta 109.47
_cell_angle_gamma 109.47
_space_group_name_H-M_alt 'P 1'
_space_group_IT_number 1
loop_
_space_group_symop_operation_xyz
'x,y,z'
loop_
_atom_site_label
_atom_site_type_symbol
_atom_site_fract_x
_atom_site_fract_y
_atom_site_fract_z
Sm1 Sm 0.0000 0.0000 0.0000
Sm2 Sm 0.0000 0.2593 0.2593
Sm3 Sm 0.0000 0.7407 0.7407
Sm4 Sm 0.0190 0.8004 0.3429
Sm5 Sm 0.1996 0.2186 0.5424
Sm6 Sm 0.2186 0.5424 0.1996
Sm7 Sm 0.2593 0.0000 0.2593
Sm8 Sm 0.2593 0.2593 0.0000
Sm9 Sm 0.3239 0.7814 0.9810
Sm10 Sm 0.3429 0.0190 0.8004
Sm11 Sm 0.4576 0.6761 0.6571
Sm12 Sm 0.5424 0.1996 0.2186
Sm13 Sm 0.6571 0.4576 0.6761
Sm14 Sm 0.6761 0.6571 0.4576
Sm15 Sm 0.7407 0.0000 0.7407
Sm16 Sm 0.7407 0.7407 0.0000
Sm17 Sm 0.7814 0.9810 0.3239
Sm18 Sm 0.8004 0.3429 0.0190
Sm19 Sm 0.9810 0.3239 0.7814
Dy1 Dy 0.1251 0.6251 0.5000
Dy2 Dy 0.3749 0.5000 0.8749
Dy3 Dy 0.5000 0.1251 0.6251
Dy4 Dy 0.5000 0.8749 0.3749
Dy5 Dy 0.6251 0.5000 0.1251
Dy6 Dy 0.8749 0.3749 0.5000
Ho1 Ho 0.0000 0.0000 0.6401
Ho2 Ho 0.0000 0.6401 0.0000
Ho3 Ho 0.3599 0.3599 0.3599
Ho4 Ho 0.6401 0.0000 0.0000
```